VASP calculation (PBE-GGA) on a relaxed structure of Ga5CuMo2.

Computed properties:
Total DFT energy (no corrections): -0.1899 Ha/atom
Excess energy over the best structure of this formula in the dataset: 60 meV per atom
Volume: 14.80 Å³ per atom

a b c (Å): 5.309 8.398 5.310
angles (deg): 90.00 90.00 90.00
Space group Cmmm (No. 65)
One atom of each set of equivalent atoms:
Ga1 0.000 0.000 0.000
Ga2 0.250 0.250 0.255
Cu1 0.000 0.500 0.500
Mo1 0.000 0.000 0.500
Mo2 0.000 0.500 0.000